Version one
A relaxed structure of LiCrSe3, computed with GGA-PBE.

Lattice parameters (Å, degrees): 5.4397 5.4397 5.4397 76.98 76.98 76.98
Last column: nearest neighbours and their distance in Å.
Positions (direct):
1 Li 0.0000 0.0000 0.0000  6 Se 2.67-2.77, 1 Cr 2.78
2 Cr 0.7547 0.7547 0.7547  3 Se 2.24
3 Se 0.0090 0.0090 0.4865  1 Cr 2.24
4 Se 0.0090 0.4864 0.0090  1 Cr 2.24
5 Se 0.4865 0.0090 0.0090  1 Cr 2.24

Values from the calculation:
calculated density = 3.3 Mg/m³

---

Version two
A relaxed structure of LiCrSe3, computed with GGA-PBE.

Lattice parameters (Å, degrees): 5.5504 6.6517 7.0383 111.95 108.99 92.17
Last column: nearest neighbours and their distance in Å.
Positions (direct):
1 Li 0.1263 0.2572 0.0513  5 Se 2.67-2.84
2 Li 0.8737 0.7428 0.9487  5 Se 2.67-2.84
3 Cr 0.2916 0.5583 0.5647  5 Se 2.27-2.50
4 Cr 0.7084 0.4417 0.4353  5 Se 2.27-2.50
5 Se 0.0190 0.3806 0.7012  2 Cr 2.27-2.50
6 Se 0.3692 0.8103 0.9415  1 Cr 2.43, 1 Se 2.56
7 Se 0.3702 0.2056 0.4208  2 Cr 2.30-2.35
8 Se 0.6298 0.7944 0.5792  2 Cr 2.30-2.35
9 Se 0.6308 0.1897 0.0585  1 Cr 2.43, 1 Se 2.56
10 Se 0.9810 0.6194 0.2988  2 Cr 2.27-2.50

Values from the calculation:
calculated density = 4.4 Mg/m³

---

Most stable structure: version two

---

Version one
A relaxed structure of LiCrSe3, computed with GGA-PBE.

Lattice parameters (Å, degrees): 6.4835 6.4835 6.4835 59.91 59.91 59.91
Last column: nearest neighbours and their distance in Å.
Positions (direct):
1 Li 0.0000 0.0000 0.0000  6 Se 2.50-2.68
2 Li 0.5000 0.5000 0.5000  6 Se 2.50-2.68
3 Cr 0.3165 0.3165 0.3165  6 Se 2.47-2.50
4 Cr 0.8165 0.8165 0.8165  6 Se 2.47-2.50
5 Se 0.0580 0.4197 0.7160  2 Cr 2.47-2.50, 2 Li 2.50-2.68
6 Se 0.2160 0.9197 0.5580  2 Cr 2.47-2.50, 2 Li 2.50-2.68
7 Se 0.4197 0.7160 0.0580  2 Cr 2.47-2.50, 2 Li 2.50-2.68
8 Se 0.5580 0.2160 0.9197  2 Cr 2.47-2.50, 2 Li 2.50-2.68
9 Se 0.7160 0.0580 0.4197  2 Cr 2.47-2.50, 2 Li 2.50-2.68
10 Se 0.9197 0.5580 0.2160  2 Cr 2.47-2.50, 2 Li 2.50-2.68

Values from the calculation:
calculated density = 5.1 Mg/m³

---

Version two
A relaxed structure of LiCrSe3, computed with GGA-PBE.

Lattice parameters (Å, degrees): 5.3429 5.3429 5.3429 64.08 64.08 64.08
Last column: nearest neighbours and their distance in Å.
Positions (direct):
1 Li 0.0000 0.0000 0.0000  6 Se 2.67
2 Cr 0.5000 0.5000 0.5000  6 Se 2.83
3 Se 0.0000 0.0000 0.5000  2 Li 2.67, 2 Cr 2.83, 4 Se 2.83
4 Se 0.0000 0.5000 0.0000  2 Li 2.67, 4 Se 2.83, 2 Cr 2.83
5 Se 0.5000 0.0000 0.0000  2 Li 2.67, 4 Se 2.83, 2 Cr 2.83

Values from the calculation:
calculated density = 4.2 Mg/m³

---

Version three
A relaxed structure of LiCrSe3, computed with GGA-PBE.

Lattice parameters (Å, degrees): 6.0026 11.6623 5.8928 90.00 90.00 90.00
Last column: nearest neighbours and their distance in Å.
Positions (direct):
1 Li 0.0000 0.0000 0.0000  4 Se 2.55-2.60
2 Li 0.0000 0.5000 0.0000  4 Se 2.55-2.60
3 Li 0.5000 0.0000 0.5000  4 Se 2.55-2.60
4 Li 0.5000 0.5000 0.5000  4 Se 2.55-2.60
5 Cr 0.1352 0.2500 0.4423  6 Se 2.40-2.53
6 Cr 0.3648 0.7500 0.9423  6 Se 2.40-2.53
7 Cr 0.6352 0.2500 0.0577  6 Se 2.40-2.53
8 Cr 0.8648 0.7500 0.5577  6 Se 2.40-2.53
9 Se 0.0198 0.7500 0.1830  2 Cr 2.40-2.51
10 Se 0.1728 0.6157 0.6784  2 Cr 2.49-2.53, 2 Li 2.55-2.60
11 Se 0.1728 0.8843 0.6784  2 Cr 2.49-2.53, 2 Li 2.55-2.60
12 Se 0.3272 0.1157 0.1784  2 Cr 2.49-2.53, 2 Li 2.55-2.60
13 Se 0.3272 0.3843 0.1784  2 Cr 2.49-2.53, 2 Li 2.55-2.60
14 Se 0.4802 0.2500 0.6830  2 Cr 2.40-2.51
15 Se 0.5198 0.7500 0.3170  2 Cr 2.40-2.51
16 Se 0.6728 0.6157 0.8216  2 Cr 2.49-2.53, 2 Li 2.55-2.60
17 Se 0.6728 0.8843 0.8216  2 Cr 2.49-2.53, 2 Li 2.55-2.60
18 Se 0.8272 0.1157 0.3216  2 Cr 2.49-2.53, 2 Li 2.55-2.60
19 Se 0.8272 0.3843 0.3216  2 Cr 2.49-2.53, 2 Li 2.55-2.60
20 Se 0.9802 0.2500 0.8170  2 Cr 2.40-2.51

Values from the calculation:
calculated density = 4.8 Mg/m³

---

Version four
A relaxed structure of LiCrSe3, computed with GGA-PBE.

Lattice parameters (Å, degrees): 9.0600 9.0600 6.3019 98.69 98.69 94.85
Last column: nearest neighbours and their distance in Å.
Positions (direct):
1 Li 0.0287 0.9713 0.7500  4 Se 2.60-2.66
2 Li 0.2816 0.7184 0.2500  6 Se 2.73-2.86
3 Li 0.7184 0.2816 0.7500  6 Se 2.73-2.86
4 Li 0.9713 0.0287 0.2500  4 Se 2.60-2.66
5 Cr 0.2058 0.3619 0.6509  4 Se 2.19-2.33
6 Cr 0.3619 0.2058 0.1509  4 Se 2.19-2.33
7 Cr 0.6381 0.7942 0.8491  4 Se 2.19-2.33
8 Cr 0.7942 0.6381 0.3491  4 Se 2.19-2.33
9 Se 0.0217 0.7755 0.4004  1 Cr 2.27
10 Se 0.1939 0.5908 0.8150  1 Cr 2.19
11 Se 0.2245 0.9783 0.0996  1 Cr 2.27
12 Se 0.2626 0.4133 0.3187  2 Cr 2.33
13 Se 0.4092 0.8061 0.6850  1 Cr 2.19
14 Se 0.4133 0.2626 0.8187  2 Cr 2.33
15 Se 0.5867 0.7374 0.1813  2 Cr 2.33
16 Se 0.5908 0.1939 0.3150  1 Cr 2.19
17 Se 0.7374 0.5867 0.6813  2 Cr 2.33
18 Se 0.7755 0.0217 0.9004  1 Cr 2.27
19 Se 0.8061 0.4092 0.1850  1 Cr 2.19
20 Se 0.9783 0.2245 0.5996  1 Cr 2.27

Values from the calculation:
calculated density = 3.9 Mg/m³

---

Most stable structure: version one

---

Version one
A relaxed structure of LiCrSe3, computed with GGA-PBE.

Lattice parameters (Å, degrees): 4.8069 4.8069 4.8069 90.00 90.00 90.00
Last column: nearest neighbours and their distance in Å.
Positions (direct):
1 Li 0.0000 0.0000 0.0000  12 Se 3.40
2 Cr 0.5000 0.5000 0.5000  6 Se 2.40
3 Se 0.0000 0.5000 0.5000  2 Cr 2.40
4 Se 0.5000 0.0000 0.5000  2 Cr 2.40
5 Se 0.5000 0.5000 0.0000  2 Cr 2.40

Values from the calculation:
calculated density = 4.4 Mg/m³

---

Version two
A relaxed structure of LiCrSe3, computed with GGA-PBE.

Lattice parameters (Å, degrees): 7.1133 7.1133 7.0787 98.09 98.09 39.66
Last column: nearest neighbours and their distance in Å.
Positions (direct):
1 Li 0.1338 0.1338 0.3130  6 Se 2.65-2.95
2 Li 0.8662 0.8662 0.6870  6 Se 2.65-2.95
3 Cr 0.3517 0.3517 0.1279  5 Se 2.30-2.50
4 Cr 0.6483 0.6483 0.8721  5 Se 2.30-2.50
5 Se 0.1747 0.1747 0.9587  3 Cr 2.49-2.50, 1 Li 2.65
6 Se 0.3328 0.3328 0.4460  1 Cr 2.30
7 Se 0.4606 0.4606 0.8225  2 Cr 2.48-2.78, 1 Se 2.58
8 Se 0.5394 0.5394 0.1775  2 Cr 2.48-2.78, 1 Se 2.58
9 Se 0.6672 0.6672 0.5540  1 Cr 2.30
10 Se 0.8253 0.8253 0.0413  3 Cr 2.49-2.50, 1 Li 2.65

Values from the calculation:
calculated density = 4.3 Mg/m³

---

Most stable structure: version two

---

Version one
A relaxed structure of LiCrSe3, computed with GGA-PBE.

Lattice parameters (Å, degrees): 7.8765 7.8765 6.9312 90.00 90.00 125.82
Last column: nearest neighbours and their distance in Å.
Positions (direct):
1 Li 0.1911 0.8089 0.7500  2 Se 2.47
2 Li 0.8089 0.1911 0.2500  2 Se 2.47
3 Cr 0.3987 0.6013 0.7500  4 Se 2.23-2.24
4 Cr 0.6013 0.3987 0.2500  4 Se 2.23-2.24
5 Se 0.0518 0.4345 0.7500  1 Cr 2.23, 1 Li 2.47
6 Se 0.4345 0.0518 0.2500  1 Cr 2.23, 1 Li 2.47
7 Se 0.5000 0.5000 0.0000  2 Cr 2.24
8 Se 0.5000 0.5000 0.5000  2 Cr 2.24
9 Se 0.5655 0.9482 0.7500  1 Cr 2.23, 1 Li 2.47
10 Se 0.9482 0.5655 0.2500  1 Cr 2.23, 1 Li 2.47

Values from the calculation:
calculated density = 2.8 Mg/m³

---

Version two
A relaxed structure of LiCrSe3, computed with GGA-PBE.

Lattice parameters (Å, degrees): 6.0721 6.7127 6.8009 64.97 76.13 70.41
Last column: nearest neighbours and their distance in Å.
Positions (direct):
1 Li 0.0000 0.0000 0.0000  5 Se 2.57-2.85
2 Li 0.2730 0.7118 0.5149  4 Se 2.60-2.77
3 Cr 0.3531 0.2720 0.4222  3 Se 2.17-2.36
4 Cr 0.7970 0.0726 0.5856  5 Se 2.22-2.42
5 Se 0.1053 0.1414 0.2858  2 Cr 2.41-2.48, 1 Li 2.60
6 Se 0.3676 0.5942 0.1538  1 Cr 2.17
7 Se 0.4534 0.2720 0.7373  2 Cr 2.34-2.36
8 Se 0.6552 0.9766 0.3504  2 Cr 2.34-2.37
9 Se 0.9125 0.7338 0.8469  1 Cr 2.22
10 Se 0.9584 0.3342 0.6297  2 Cr 2.42-2.47, 1 Li 2.57

Values from the calculation:
calculated density = 4.2 Mg/m³

---

Version three
A relaxed structure of LiCrSe3, computed with GGA-PBE.

Lattice parameters (Å, degrees): 8.6324 8.6324 8.6324 60.00 60.00 60.00
Last column: nearest neighbours and their distance in Å.
Positions (direct):
1 Li 0.0000 0.0000 0.0000  6 Se 2.74
2 Li 0.0000 0.0000 0.5000  6 Se 2.74
3 Li 0.0000 0.5000 0.0000  6 Se 2.74
4 Li 0.5000 0.0000 0.0000  6 Se 2.74
5 Cr 0.0000 0.5000 0.5000  6 Se 2.55
6 Cr 0.5000 0.0000 0.5000  6 Se 2.55
7 Cr 0.5000 0.5000 0.0000  6 Se 2.55
8 Cr 0.5000 0.5000 0.5000  6 Se 2.55
9 Se 0.1385 0.1385 0.6115  2 Cr 2.55, 2 Li 2.74
10 Se 0.1385 0.6115 0.1385  2 Cr 2.55, 2 Li 2.74
11 Se 0.1385 0.6115 0.6115  2 Cr 2.55, 2 Li 2.74
12 Se 0.3885 0.3885 0.8615  2 Cr 2.55, 2 Li 2.74
13 Se 0.3885 0.8615 0.3885  2 Cr 2.55, 2 Li 2.74
14 Se 0.3885 0.8615 0.8615  2 Cr 2.55, 2 Li 2.74
15 Se 0.6115 0.1385 0.1385  2 Cr 2.55, 2 Li 2.74
16 Se 0.6115 0.1385 0.6115  2 Cr 2.55, 2 Li 2.74
17 Se 0.6115 0.6115 0.1385  2 Cr 2.55, 2 Li 2.74
18 Se 0.8615 0.3885 0.3885  2 Cr 2.55, 2 Li 2.74
19 Se 0.8615 0.3885 0.8615  2 Cr 2.55, 2 Li 2.74
20 Se 0.8615 0.8615 0.3885  2 Cr 2.55, 2 Li 2.74

Values from the calculation:
calculated density = 4.3 Mg/m³

---

Version four
A relaxed structure of LiCrSe3, computed with GGA-PBE.

Lattice parameters (Å, degrees): 6.1759 6.7839 7.0958 61.93 65.87 72.69
Last column: nearest neighbours and their distance in Å.
Positions (direct):
1 Li 0.0000 0.0000 0.0000  4 Se 2.60-2.72
2 Li 0.3646 0.4525 0.3362  5 Se 2.66-2.75
3 Cr 0.3617 0.8972 0.6205  5 Se 2.21-2.44
4 Cr 0.8021 0.0630 0.4316  4 Se 2.21-2.42
5 Se 0.0189 0.1903 0.5790  2 Cr 2.44-2.51, 2 Li 2.60-2.66
6 Se 0.1879 0.8304 0.4053  2 Cr 2.42-2.44, 1 Li 2.66
7 Se 0.2602 0.6155 0.9529  1 Cr 2.21
8 Se 0.4724 0.1434 0.7075  2 Cr 2.32-2.37
9 Se 0.7129 0.7680 0.3994  2 Cr 2.31-2.36
10 Se 0.8361 0.3580 0.1067  1 Cr 2.21

Values from the calculation:
calculated density = 4.1 Mg/m³

---

Most stable structure: version four